No. 1
An optimized crystal structure of WBr3. Source: the Alexandria database, functional PBE-GGA.

Computed properties:
magnetization	3.05	Bohr magnetons per cell
distance to the lowest polymorph of the same formula	1385.8	meV/atom
SG	Pm-3m, No. 221
uncorrected formation energy	1.2903	eV/atom

a b c (Å): 4.5439 4.5439 4.5439
angles (deg): 90.00 90.00 90.00
Atoms (fractional coordinates):
Br  0.0000  0.5000  0.5000
Br  0.5000  0.0000  0.5000
Br  0.5000  0.5000  0.0000
W  0.0000  0.0000  0.0000

=====

No. 2
An optimized crystal structure of LiGa2Bi2. Source: the Alexandria database, functional PBE-GGA.

Computed properties:
magnetization	0.00	Bohr magnetons per cell
E_form	-0.023	eV/atom
distance to the lowest polymorph of the same formula	0.0	meV/atom
SG	P4/mbm, No. 127

a b c (Å): 7.8712 7.8712 4.0386
angles (deg): 90.00 90.00 90.00
Atoms (fractional coordinates):
Bi  0.1697  0.6697  0.5000
Bi  0.6697  0.8303  0.5000
Bi  0.8303  0.3303  0.5000
Bi  0.3303  0.1697  0.5000
Ga  0.3725  0.8725  0.0000
Ga  0.8725  0.6275  0.0000
Ga  0.6275  0.1275  0.0000
Ga  0.1275  0.3725  0.0000
Li  0.0000  0.0000  0.0000
Li  0.5000  0.5000  0.0000

=====

No. 3
An optimized crystal structure of LiPuH3. Source: the Alexandria database, functional PBE-GGA.

Computed properties:
magnetization	5.98	Bohr magnetons per cell
total DFT energy (no corrections)	-28.1	eV/cell
SG	Pm-3m, No. 221

a b c (Å): 3.5932 3.5932 3.5932
angles (deg): 90.00 90.00 90.00
Atoms (fractional coordinates):
H  0.0000  0.5000  0.0000
H  0.0000  0.0000  0.5000
H  0.5000  0.0000  0.0000
Li  0.0000  0.0000  0.0000
Pu  0.5000  0.5000  0.5000

=====

No. 4
An optimized crystal structure of KNiI3. Source: the Alexandria database, functional PBE-GGA.

Computed properties:
magnetization	0.00	Bohr magnetons per cell
distance to the lowest polymorph of the same formula	0.0	meV/atom
SG	Pm-3m, No. 221
uncorrected formation energy	-0.5363	eV/atom

a b c (Å): 5.4785 5.4785 5.4785
angles (deg): 90.00 90.00 90.00
Atoms (fractional coordinates):
I  0.0000  0.5000  0.0000
I  0.0000  0.0000  0.5000
I  0.5000  0.0000  0.0000
Ni  0.0000  0.0000  0.0000
K  0.5000  0.5000  0.5000

=====

No. 5
An optimized crystal structure of PmPrTlRh. Source: the Alexandria database, functional PBE-GGA.

Computed properties:
magnetization	0.00	Bohr magnetons per cell
E_form	-0.504	eV/atom
distance to the lowest polymorph of the same formula	0.0	meV/atom
SG	P4mm, No. 99

a b c (Å): 3.5908 3.5908 8.1108
angles (deg): 90.00 90.00 90.00
Atoms (fractional coordinates):
Pm  0.5000  0.5000  0.3602
Pr  0.5000  0.5000  0.7837
Tl  0.0000  0.0000  0.0769
Rh  0.0000  0.0000  0.5639

=====

No. 6
An optimized crystal structure of RbTa3Fe. Source: the Alexandria database, functional PBE-GGA.

Computed properties:
magnetization	0.00	Bohr magnetons per cell
E_form	3.578	eV/atom
distance to the lowest polymorph of the same formula	2225.8	meV/atom
SG	Pm-3m, No. 221

a b c (Å): 4.7222 4.7222 4.7222
angles (deg): 90.00 90.00 90.00
Atoms (fractional coordinates):
Fe  0.5000  0.5000  0.5000
Rb  0.0000  0.0000  0.0000
Ta  0.0000  0.5000  0.0000
Ta  0.0000  0.0000  0.5000
Ta  0.5000  0.0000  0.0000

=====

No. 7
An optimized crystal structure of AlCd2Re2. Source: the Alexandria database, functional PBE-GGA.

Computed properties:
magnetization	0.00	Bohr magnetons per cell
E_form	0.893	eV/atom
distance to the lowest polymorph of the same formula	416.5	meV/atom
SG	I4/mmm, No. 139

a b c (Å): 3.6356 3.6356 7.6821
angles (deg): 76.31 76.31 90.00
Atoms (fractional coordinates):
Re  0.4197  0.4197  0.1605
Re  0.5803  0.5803  0.8395
Al  0.0000  0.0000  0.0000
Cd  0.7500  0.2500  0.5000
Cd  0.2500  0.7500  0.5000

=====

No. 8
An optimized crystal structure of IrRu2. Source: the Alexandria database, functional PBE-GGA.

Computed properties:
magnetization	0.00	Bohr magnetons per cell
E_form	0.074	eV/atom
distance to the lowest polymorph of the same formula	123.2	meV/atom
SG	P-62m, No. 189

a b c (Å): 7.3944 7.3944 2.7122
angles (deg): 90.00 90.00 120.00
Atoms (fractional coordinates):
Ir  0.0000  0.0000  0.5000
Ir  0.3333  0.6667  0.0000
Ir  0.6667  0.3333  0.0000
Ru  0.0000  0.3015  0.0000
Ru  0.0000  0.6385  0.5000
Ru  0.3015  0.0000  0.0000
Ru  0.6985  0.6985  0.0000
Ru  0.6385  0.0000  0.5000
Ru  0.3615  0.3615  0.5000